<w>
The following is a DFT calculation (PBE) of a geometry-optimized Ce3PuSn structure. Values from VASP.

## Properties
M_tot	3.51	μB per formula unit
SG	No. 4

Geometry as Quantum ESPRESSO input:
```
&SYSTEM
  ibrav = 0, nat = 10, ntyp = 3
/
ATOMIC_SPECIES
Sn 118.71 Sn.upf
Ce 140.12 Ce.upf
Pu 244.00 Pu.upf
ATOMIC_POSITIONS angstrom
Sn 0.4409 -1.3547 7.6047
Sn 1.0476 -6.0402 5.7537
Ce 1.5496 -0.2333 3.5779
Pu 0.4647 0.9878 5.5394
Pu 1.9571 -2.7064 3.2963
Ce 2.7199 1.1642 6.7613
Ce 1.6285 -4.0997 9.0419
Ce 2.6824 -2.9150 5.7349
Ce 3.9468 -1.4169 8.8625
Ce -0.2401 -3.2156 4.2899
CELL_PARAMETERS angstrom
-3.7329 -3.4651 3.7853
4.5113 -3.5623 1.1884
1.3652 3.7402 6.0292
```

<x>
The following is a DFT calculation (PBE) of a geometry-optimized Ce3PuSn structure. Values from VASP.

## Properties
M_tot	4.93	μB per formula unit
SG	No. 62

Geometry as Quantum ESPRESSO input:
```
&SYSTEM
  ibrav = 0, nat = 20, ntyp = 3
/
ATOMIC_SPECIES
Sn 118.71 Sn.upf
Ce 140.12 Ce.upf
Pu 244.00 Pu.upf
ATOMIC_POSITIONS angstrom
Sn 5.3323 7.7361 7.5927
Ce 5.6930 1.7201 5.4855
Ce 2.2489 0.5068 7.5927
Sn 0.8570 0.7147 2.5309
Ce 0.8457 4.7322 7.5927
Sn 3.9516 3.5107 7.5927
Ce 3.5909 5.9455 5.4855
Ce 5.6930 1.7201 9.6999
Ce 3.9404 7.9440 2.5309
Sn 2.2377 4.9401 2.5309
Pu 3.0946 0.0000 0.0000
Ce 5.3436 3.7186 2.5309
Ce 0.4963 6.7307 0.4237
Ce 0.4963 6.7307 4.6381
Pu 3.0946 0.0000 5.0618
Pu 0.0000 4.2254 0.0000
Ce 3.5909 5.9455 9.6999
Pu 0.0000 4.2254 5.0618
Ce 2.5984 2.5053 0.4237
Ce 2.5984 2.5053 4.6381
CELL_PARAMETERS angstrom
6.1893 0.0000 0.0000
0.0000 8.4508 0.0000
0.0000 0.0000 10.1236
```

<x> has the most favorable energy; the next structure is 44 meV/atom above.

<w>
The following is a DFT calculation (PBE) of a geometry-optimized Ce6PuSn2 structure. Values from VASP.

## Properties
M_tot	0.00	μB per formula unit
SG	No. 12

Geometry as Quantum ESPRESSO input:
```
&SYSTEM
  ibrav = 0, nat = 9, ntyp = 3
/
ATOMIC_SPECIES
Ce 140.12 Ce.upf
Pu 244.00 Pu.upf
Sn 118.71 Sn.upf
ATOMIC_POSITIONS angstrom
Ce 3.7648 0.4982 5.7361
Ce 5.8060 -3.3021 3.2243
Pu 0.0000 0.0000 0.0000
Ce 3.0247 -2.8656 5.4739
Ce 6.5460 0.0616 3.4864
Sn 6.2727 -1.8735 6.3320
Ce 8.9590 -2.2999 4.2202
Sn 3.2980 -0.9304 2.6283
Ce 0.6118 -0.5040 4.7402
CELL_PARAMETERS angstrom
-1.7057 -0.0487 5.4393
4.8881 -4.7871 1.4948
6.3883 2.0318 2.0262
```

<x>
The following is a DFT calculation (PBE) of a geometry-optimized Ce6PuSn2 structure. Values from VASP.

## Properties
M_tot	0.00	μB per formula unit
SG	No. 225

Geometry as Quantum ESPRESSO input:
```
&SYSTEM
  ibrav = 0, nat = 9, ntyp = 3
/
ATOMIC_SPECIES
Pu 244.00 Pu.upf
Ce 140.12 Ce.upf
Sn 118.71 Sn.upf
ATOMIC_POSITIONS angstrom
Pu 4.0624 2.8751 7.0385
Ce 6.0593 4.2884 7.0403
Sn 6.0937 4.3128 10.5592
Ce 5.0622 1.4635 5.3086
Ce 3.0636 4.2874 5.3086
Ce 5.0612 1.4628 8.7684
Ce 2.0655 1.4618 7.0367
Ce 3.0626 4.2867 8.7684
Sn 2.0311 1.4375 3.5179
CELL_PARAMETERS angstrom
6.0956 0.0015 3.5184
2.0285 5.7482 3.5184
0.0007 0.0005 7.0402
```

<x> has the most favorable energy; the next structure is 17 meV/atom above.